# La14YTm, relaxed, DFT GGA-PBE
data_La14YTm
_space_group_name_H-M_alt 'P 4/m m m'
_space_group_IT_number 123
_space_group_name_Hall '-P 4 2'
_cell_length_a 7.3881
_cell_length_b 7.3881
_cell_length_c 10.5101
_cell_angle_alpha 90.00
_cell_angle_beta 90.00
_cell_angle_gamma 90.00
loop_
_atom_site_label
_atom_site_type_symbol
_atom_site_fract_x
_atom_site_fract_y
_atom_site_fract_z
La1 La 0.0000 0.0000 0.0000
La2 La 0.0000 0.5000 0.0000
La3 La 0.0000 0.5000 0.5000
La4 La 0.2488 0.2488 0.2515
La5 La 0.5000 0.5000 0.0000
Y1 Y 0.5000 0.5000 0.5000
Tm1 Tm 0.0000 0.0000 0.5000
# Calculated volume (Å³ per atom): 35.855
# DOS(E_F) (states/eV per atom): 1.68
# Crystal system: tetragonal
# Total magnetic moment (μB per formula unit): 0.0
# Calculated total energy (eV/atom): -4.989